No. 1
An optimized crystal structure of Sr2BiSbS5. Source: the Alexandria database, functional PBE-GGA.

Cell: 4.192 9.072 13.055 Å, 90.00 90.00 103.36°
Atoms (fractional coordinates):
Sr1 0.869 0.737 0.801
Sr2 0.099 0.199 0.664
Sr3 0.131 0.263 0.301
Sr4 0.901 0.801 0.164
Bi1 0.779 0.558 0.528
Bi2 0.221 0.442 0.028
Sb1 0.544 0.088 0.950
Sb2 0.456 0.912 0.450
S1 0.374 0.748 0.989
S2 0.682 0.363 0.882
S3 0.497 0.995 0.761
S4 0.269 0.539 0.676
S5 0.936 0.873 0.573
S6 0.626 0.252 0.489
S7 0.318 0.637 0.382
S8 0.503 0.005 0.261
S9 0.731 0.461 0.176
S10 0.064 0.127 0.073

Calculated values
Symmetry: No. 36
Calculated volume: 483.0 Å³ per cell
Formation energy (no corrections): -1.06 eV/atom
Total DFT energy (no corrections): -4.613 eV/atom

---

No. 2
An optimized crystal structure of LiSc2Ag. Source: the Alexandria database, functional PBE-GGA.

Cell: 5.824 5.824 5.824 Å, 146.61 130.18 61.31°
Atoms (fractional coordinates):
Ag1 0.515 0.515 0.000
Li1 0.721 0.221 0.500
Sc1 0.994 0.994 0.000
Sc2 0.270 0.770 0.500

Calculated values
Symmetry: No. 44
Calculated volume: 82.2 Å³ per cell
Total DFT energy (no corrections): -4.372 eV/atom
Formation energy: -6 kJ/mol of formula units

---

No. 3
An optimized crystal structure of ReB3S. Source: the Alexandria database, functional PBE-GGA.

Cell: 3.758 3.758 3.758 Å, 90.00 90.00 90.00°
Atoms (fractional coordinates):
Re1 0.500 0.500 0.500
S1 0.000 0.000 0.000
B1 0.000 0.500 0.000
B2 0.000 0.000 0.500
B3 0.500 0.000 0.000

Calculated values
Symmetry: No. 221
Calculated volume: 53.1 Å³ per cell
Formation energy (no corrections): 1.93 eV/atom
Total DFT energy (no corrections): -5.396 eV/atom

---

No. 4
An optimized crystal structure of TbNd2As3Pt4. Source: the Alexandria database, functional PBE-GGA.

Cell: 4.308 4.308 11.350 Å, 90.00 90.00 90.00°
Atoms (fractional coordinates):
Tb1 0.500 0.500 0.500
Nd1 0.500 0.000 0.214
Nd2 0.000 0.500 0.786
As1 0.000 0.000 0.500
As2 0.500 0.000 0.872
As3 0.000 0.500 0.128
Pt1 0.500 0.500 0.000
Pt2 0.000 0.000 0.000
Pt3 0.500 0.000 0.656
Pt4 0.000 0.500 0.344

Calculated values
Symmetry: No. 115
Calculated volume: 210.6 Å³ per cell
Total DFT energy (no corrections): -6.185 eV/atom
Formation energy: -923 kJ/mol of formula units